PrPaCuTc after structural relaxation. Source: Alexandria via LeMat-Bulk, functional PBE.

The structure in POSCAR format:
```
PrPaCuTc
1.0
0.000 3.503 3.503
3.503 0.000 3.503
3.503 3.503 0.000
Pr Pa Cu Tc
1 1 1 1
Direct
0.000 0.000 0.000
0.500 0.500 0.500
0.250 0.250 0.250
0.750 0.750 0.750
```

## Properties
Uncorrected energy, Ry/atom: -0.52038
Space-group type: F-43m, No. 216
Size of the total moment, μB/f.u.: 0.000